[1]
Entry from Alexandria: Rb4Ce3RhSe8 after structural relaxation (GGA-PBE).

For the uncorrected formation energy, the calculation gives -21.626 eV/f.u. The calculation puts the mass density at 5.0 Mg/m³. For the calculated total energy, the calculation gives -4.908 eV per atom. The density of states at the Fermi level is 18.53 states/eV per cell.

The structure in POSCAR format:
```
Rb4Ce3RhSe8
1.0
4.2441 2.4504 7.9853
-4.2441 2.4504 7.9853
0.0000 -4.9007 7.9853
Rb Ce Rh Se
4 3 1 8
direct
0.0000 0.0000 0.0000
0.0000 0.5000 0.5000
0.5000 0.0000 0.5000
0.5000 0.5000 0.0000
0.0000 0.0000 0.5000
0.0000 0.5000 0.0000
0.5000 0.0000 0.0000
0.5000 0.5000 0.5000
0.2345 0.2345 0.2345
0.2527 0.7174 0.7174
0.2826 0.2826 0.7473
0.2826 0.7473 0.2826
0.7174 0.2527 0.7174
0.7174 0.7174 0.2527
0.7473 0.2826 0.2826
0.7655 0.7655 0.7655
```

---

[2]
Entry from Alexandria: Ce2Al3Si2 after structural relaxation (GGA-PBE).

For the uncorrected formation energy, the calculation gives -2.305 eV/f.u. The calculation puts the mass density at 4.7 Mg/m³. For the calculated total energy, the calculation gives -5.178 eV per atom. The density of states at the Fermi level is 10.04 states/eV per cell.

The structure in POSCAR format:
```
Ce2Al3Si2
1.0
1.8660 -9.4686 0.0000
1.8660 9.4686 0.0000
0.0000 0.0000 4.2041
Ce Al Si
2 3 2
direct
0.1645 0.8355 0.0000
0.8355 0.1645 0.0000
0.0000 0.0000 0.0000
0.4297 0.5703 0.5000
0.5703 0.4297 0.5000
0.2889 0.7111 0.5000
0.7111 0.2889 0.5000
```

---

[3]
Entry from Alexandria: Nd4Sn3Hg after structural relaxation (GGA-PBE).

The calculation puts the mass density at 7.8 Mg/m³. For the calculated total energy, the calculation gives -4.613 eV per atom. The density of states at the Fermi level is 8.77 states/eV per cell.

The structure in POSCAR format:
```
Nd4Sn3Hg
1.0
4.4555 0.0000 0.0000
0.0000 4.6048 0.0000
0.0000 0.0000 11.8044
Nd Sn Hg
4 3 1
direct
0.0000 0.0000 0.0000
0.0000 0.5000 0.4995
0.5000 0.0000 0.2736
0.5000 0.5000 0.7745
0.0000 0.0000 0.7247
0.0000 0.5000 0.2208
0.5000 0.0000 0.5470
0.5000 0.5000 0.0489
```

---

Q: Which of these has the lowest mass density?
A: Ce2Al3Si2

---

Q: What is the formula in the third record?
A: Nd4Sn3Hg